{
  "formula": "Tb2ZrIn",
  "functional": "GGA-PBE",
  "state": "optimized geometry",
  "dos_at_fermi_per_ev_atom": 1.014,
  "dft_energy_ev_per_atom": -5.33,
  "rho_g_cm3": 8.319,
  "e_form_ev_per_atom": -0.195,
  "polymorph_energy_ev_per_atom": 0.000,
  "cell": [[4.729, 0.000, 0.000], [0.000, 4.703, 0.000], [0.000, 0.000, 4.703]],
  "species": ["Tb", "Tb", "In", "Zr"],
  "fractional_positions": [[0.000, 0.500, 0.000], [0.000, 0.000, 0.500], [0.500, 0.000, 0.000], [0.500, 0.500, 0.500]]
}



{
  "formula": "PbAu4Br",
  "functional": "GGA-PBE",
  "state": "optimized geometry",
  "dos_at_fermi_per_ev_atom": 0.365,
  "dft_energy_ev_per_atom": -3.09,
  "rho_g_cm3": 13.583,
  "cell": [[0.000, 4.035, 4.035], [4.035, 0.000, 4.035], [4.035, 4.035, 0.000]],
  "species": ["Pb", "Au", "Au", "Au", "Au", "Br"],
  "fractional_positions": [[0.000, 0.000, 0.000], [0.375, 0.375, 0.875], [0.375, 0.375, 0.375], [0.375, 0.875, 0.375], [0.875, 0.375, 0.375], [0.750, 0.750, 0.750]]
}



{
  "formula": "SiGe2Au2",
  "functional": "GGA-PBE",
  "state": "optimized geometry",
  "dos_at_fermi_per_ev_atom": 0.426,
  "dft_energy_ev_per_atom": -3.91,
  "rho_g_cm3": 9.765,
  "polymorph_energy_ev_per_atom": 0.043,
  "cell": [[6.871, 0.000, 0.000], [0.000, 6.871, 0.000], [0.000, 0.000, 4.087]],
  "species": ["Ge", "Ge", "Ge", "Ge", "Au", "Au", "Au", "Au", "Si", "Si"],
  "fractional_positions": [[0.845, 0.655, 0.000], [0.155, 0.345, 0.000], [0.655, 0.155, 0.000], [0.345, 0.845, 0.000], [0.151, 0.651, 0.500], [0.651, 0.849, 0.500], [0.849, 0.349, 0.500], [0.349, 0.151, 0.500], [0.500, 0.500, 0.000], [0.000, 0.000, 0.000]]
}



{
  "formula": "SrHfPtW2",
  "functional": "GGA-PBE",
  "state": "optimized geometry",
  "dos_at_fermi_per_ev_atom": 1.169,
  "dft_energy_ev_per_atom": -7.30,
  "rho_g_cm3": 11.041,
  "e_form_ev_per_atom": 1.419,
  "cell": [[-3.450, -2.787, -2.131], [2.543, 0.268, -4.468], [2.530, -4.047, 1.197]],
  "species": ["Pt", "Hf", "W", "W", "Sr"],
  "fractional_positions": [[0.000, 0.500, 0.000], [0.000, 0.000, 0.000], [0.000, 0.000, 0.500], [0.500, 0.000, 0.000], [0.500, 0.500, 0.500]]
}



{
  "formula": "PrYPCl",
  "functional": "GGA-PBE",
  "state": "optimized geometry",
  "dos_at_fermi_per_ev_atom": 0.243,
  "dft_energy_ev_per_atom": -6.20,
  "rho_g_cm3": 4.914,
  "cell": [[-3.390, -1.331, -1.696], [1.542, -1.914, 3.178], [-2.086, 5.704, 4.447]],
  "species": ["Y", "P", "Cl", "Pr"],
  "fractional_positions": [[0.110, 0.953, 0.078], [0.315, 0.556, 0.886], [0.958, 0.377, 0.351], [0.495, 0.145, 0.655]]
}



{
  "formula": "CePd12Au6",
  "functional": "GGA-PBE",
  "state": "optimized geometry",
  "dos_at_fermi_per_ev_atom": 0.865,
  "dft_energy_ev_per_atom": -4.66,
  "rho_g_cm3": 12.318,
  "e_form_ev_per_atom": -0.032,
  "cell": [[7.493, -0.186, -0.262], [-2.038, 7.213, -0.262], [-2.038, -2.625, 6.724]],
  "species": ["Pd", "Pd", "Pd", "Pd", "Pd", "Pd", "Pd", "Pd", "Pd", "Pd", "Pd", "Pd", "Ce", "Au", "Au", "Au", "Au", "Au", "Au"],
  "fractional_positions": [[0.091, 0.328, 0.328], [0.500, 0.887, 0.113], [0.672, 0.909, 0.672], [0.909, 0.672, 0.672], [0.113, 0.500, 0.887], [0.328, 0.328, 0.091], [0.887, 0.500, 0.113], [0.500, 0.113, 0.887], [0.328, 0.091, 0.328], [0.887, 0.113, 0.500], [0.113, 0.887, 0.500], [0.672, 0.672, 0.909], [0.000, 0.000, 0.000], [0.311, 0.698, 0.311], [0.302, 0.689, 0.689], [0.698, 0.311, 0.311], [0.311, 0.311, 0.698], [0.689, 0.689, 0.302], [0.689, 0.302, 0.689]]
}



{
  "formula": "Nb3TlCr",
  "functional": "GGA-PBE",
  "state": "optimized geometry",
  "dos_at_fermi_per_ev_atom": 2.524,
  "dft_energy_ev_per_atom": -5.80,
  "rho_g_cm3": 6.846,
  "e_form_ev_per_atom": 2.638,
  "polymorph_energy_ev_per_atom": 1.860,
  "cell": [[5.063, 0.000, 0.000], [0.000, 5.063, 0.000], [0.000, 0.000, 5.063]],
  "species": ["Nb", "Nb", "Nb", "Cr", "Tl"],
  "fractional_positions": [[0.500, 0.000, 0.000], [0.000, 0.000, 0.500], [0.000, 0.500, 0.000], [0.500, 0.500, 0.500], [0.000, 0.000, 0.000]]
}



{
  "formula": "Y2ZrRe",
  "functional": "GGA-PBE",
  "state": "optimized geometry",
  "dos_at_fermi_per_ev_atom": 1.158,
  "dft_energy_ev_per_atom": -8.43,
  "rho_g_cm3": 7.728,
  "e_form_ev_per_atom": 0.053,
  "polymorph_energy_ev_per_atom": 0.021,
  "cell": [[6.130, -0.009, -0.004], [5.095, 3.409, -0.004], [2.221, 0.673, 4.669]],
  "species": ["Zr", "Y", "Y", "Re"],
  "fractional_positions": [[0.551, 0.551, 0.449], [0.962, 0.962, 0.038], [0.753, 0.753, 0.747], [0.235, 0.235, 0.265]]
}